Ti2CrNiH: optimized geometry, PBE.

abc: 4.191 4.191 3.253
angles: 90.00 90.00 90.00
Each line ends with the local moment (μB).
Atoms (fractional coordinates):
Ni 0.000 0.000 0.500  -0.02
Ti 0.000 0.500 0.000  -0.15
Ti 0.500 0.000 0.000  -0.15
H 0.000 0.000 0.000  0.00
Cr 0.500 0.500 0.500  0.61

Total magnetic moment: 0.284 μB per cell
SG: P4/mmm
E_tot: -7.1076 eV/atom
ΔE to the lowest computed polymorph: 2 meV per atom

=====

Tb2Y2Er7: optimized geometry, PBE.

abc: 3.598 11.603 11.603
angles: 51.22 71.96 71.96
Atoms (fractional coordinates):
Tb 0.500 0.273 0.727
Tb 0.500 0.727 0.273
Y 0.052 0.724 0.724
Y 0.948 0.276 0.276
Er 0.322 0.639 0.040
Er 0.678 0.960 0.361
Er 0.678 0.361 0.960
Er 0.322 0.040 0.639
Er 0.000 0.000 0.000
Er 0.832 0.584 0.584
Er 0.168 0.416 0.416

Total magnetic moment: 0.003 μB per cell
Energy relative to the elements: 13 kJ per mole of atoms
SG: Cmmm
E_tot: -4.7859 eV/atom
ΔE to the lowest computed polymorph: 0 meV per atom

=====

NaHf3Pt: optimized geometry, PBE.

abc: 4.803 4.803 4.803
angles: 90.00 90.00 90.00
Atoms (fractional coordinates):
Na 0.000 0.000 0.000
Hf 0.000 0.500 0.000
Hf 0.000 0.000 0.500
Hf 0.500 0.000 0.000
Pt 0.500 0.500 0.500

Total magnetic moment: 0.000 μB per cell
Energy relative to the elements: 151 kJ per mole of atoms
SG: Pm-3m
E_tot: -5.8786 eV/atom
ΔE to the lowest computed polymorph: 1197 meV per atom

=====

ZnInBr4: optimized geometry, PBE.

abc: 7.114 7.186 10.122
angles: 90.00 90.00 90.00
Each line ends with the local moment (μB).
Atoms (fractional coordinates):
Zn 0.500 0.000 0.000  0.00
Zn 0.000 0.000 0.500  0.00
In 0.000 0.000 0.000  0.25
In 0.000 0.500 0.500  0.24
Br 0.713 0.793 0.878  0.09
Br 0.287 0.793 0.122  0.09
Br 0.713 0.207 0.122  0.09
Br 0.287 0.207 0.878  0.09
Br 0.195 0.210 0.366  0.09
Br 0.805 0.210 0.634  0.09
Br 0.195 0.790 0.634  0.09
Br 0.805 0.790 0.366  0.09

Total magnetic moment: 1.603 μB per cell
SG: P222
E_tot: -2.4762 eV/atom
ΔE to the lowest computed polymorph: 0 meV per atom

=====

> Which formula does entry 2 have?

Tb2Y2Er7

=====

> Number 3 is which compound?

NaHf3Pt

=====

> Number 3 is which compound?

NaHf3Pt

=====

> What is the E_tot in the second record?

-4.7859 eV/atom